Entry 1:
DFT (PBE) results for a relaxed BaGaGe3 crystal.

a = 5.835 Å, b = 5.835 Å, c = 5.835 Å
α = 90.00°, β = 90.00°, γ = 90.00°
Atoms (fractional coordinates):
Ba 0.000 0.000 0.000
Ga 0.500 0.500 0.500
Ge 0.000 0.000 0.500
Ge 0.000 0.500 0.000
Ge 0.500 0.000 0.000

- Symmetry: Pm-3m, No. 221
- Distance to the lowest polymorph of the same formula: 1449 meV per atom
- M_tot: 0.0 μB per formula unit
- Total DFT energy (no corrections): -2.53 eV/atom
- Energy of formation: 1.23 eV/atom

=====

Entry 2:
DFT (PBE) results for a relaxed Ba2Ga2Ge crystal.

a = 6.791 Å, b = 6.791 Å, c = 11.978 Å
α = 110.03°, β = 110.03°, γ = 37.84°
Atoms (fractional coordinates):
Ba 0.102 0.102 0.398
Ba 0.290 0.290 0.860
Ba 0.710 0.710 0.140
Ba 0.898 0.898 0.602
Ga 0.027 0.027 0.911
Ga 0.380 0.380 0.373
Ga 0.620 0.620 0.627
Ga 0.973 0.973 0.089
Ge 0.433 0.433 0.181
Ge 0.567 0.567 0.819

- Symmetry: C2/m, No. 12
- Distance to the lowest polymorph of the same formula: 0 meV per atom
- M_tot: 0.0 μB per formula unit
- Total DFT energy (no corrections): -3.38 eV/atom
- Energy of formation: -0.48 eV/atom

=====

Entry 3:
DFT (PBE) results for a relaxed BaGa2Ge crystal.

a = 4.805 Å, b = 5.075 Å, c = 5.075 Å
α = 82.24°, β = 90.00°, γ = 90.00°
Atoms (fractional coordinates):
Ba 0.000 0.000 0.000
Ga 0.500 0.507 0.878
Ga 0.500 0.878 0.507
Ge 0.500 0.379 0.379

- Symmetry: Amm2, No. 38
- Distance to the lowest polymorph of the same formula: 173 meV per atom
- M_tot: 0.0 μB per formula unit
- Total DFT energy (no corrections): -3.30 eV/atom
- Energy of formation: -0.16 eV/atom

=====

Entry 4:
DFT (PBE) results for a relaxed Ba2Ga2Ge crystal.

a = 7.606 Å, b = 7.606 Å, c = 5.206 Å
α = 90.00°, β = 90.00°, γ = 90.00°
Atoms (fractional coordinates):
Ba 0.187 0.313 0.000
Ba 0.313 0.813 0.000
Ba 0.687 0.187 0.000
Ba 0.813 0.687 0.000
Ga 0.122 0.622 0.500
Ga 0.378 0.122 0.500
Ga 0.622 0.878 0.500
Ga 0.878 0.378 0.500
Ge 0.000 0.000 0.500
Ge 0.500 0.500 0.500

- Symmetry: P4/mbm, No. 127
- Distance to the lowest polymorph of the same formula: 170 meV per atom
- M_tot: 0.0 μB per formula unit
- Total DFT energy (no corrections): -3.21 eV/atom
- Energy of formation: -0.31 eV/atom

=====

Question: Which formula does entry 1 have?
Answer: BaGaGe3